[1]
Crystalline TbSc3O6 at its relaxed geometry. Source: Alexandria via LeMat-Bulk, functional PBE-GGA.

Structure (CIF):
```
data_TbSc3O6
_chemical_formula_sum 'Tb2 Sc6 O12'
_symmetry_space_group_name_H-M 'P 1'
_symmetry_Int_Tables_number 1
_cell_length_a 8.7350
_cell_length_b 3.2142
_cell_length_c 8.8642
_cell_angle_alpha 90.00
_cell_angle_beta 108.11
_cell_angle_gamma 90.00
loop_
_symmetry_equiv_pos_as_xyz
'x,y,z'
loop_
_atom_site_label
_atom_site_fract_x
_atom_site_fract_y
_atom_site_fract_z
Tb1 0.0571 0.2500 0.1952
Tb2 0.9429 0.7500 0.8048
Sc1 0.1675 0.2500 0.5916
Sc2 0.3233 0.7500 0.9916
Sc3 0.4526 0.2500 0.3310
Sc4 0.5474 0.7500 0.6690
Sc5 0.6767 0.2500 0.0084
Sc6 0.8325 0.7500 0.4084
O1 0.0755 0.7500 0.4079
O2 0.1179 0.2500 0.9558
O3 0.2056 0.7500 0.7430
O4 0.2788 0.7500 0.2301
O5 0.3974 0.2500 0.5587
O6 0.4645 0.2500 0.1017
O7 0.5355 0.7500 0.8983
O8 0.6026 0.7500 0.4413
O9 0.7212 0.2500 0.7699
O10 0.7944 0.2500 0.2570
O11 0.8821 0.7500 0.0442
O12 0.9245 0.2500 0.5921
```

Formation energy (no corrections), kJ per mole of atoms: -338.1
ρ, g/cm3: 5.47
Density of states at the Fermi level, states/eV per cell: 0.00


[2]
Crystalline TbScO at its relaxed geometry. Source: Alexandria via LeMat-Bulk, functional PBE-GGA.

Structure (CIF):
```
data_TbScO
_chemical_formula_sum 'Tb1 Sc1 O1'
_symmetry_space_group_name_H-M 'P 1'
_symmetry_Int_Tables_number 1
_cell_length_a 3.3807
_cell_length_b 3.3807
_cell_length_c 5.5775
_cell_angle_alpha 90.00
_cell_angle_beta 90.00
_cell_angle_gamma 120.00
loop_
_symmetry_equiv_pos_as_xyz
'x,y,z'
loop_
_atom_site_label
_atom_site_fract_x
_atom_site_fract_y
_atom_site_fract_z
Tb1 0.0000 0.0000 0.0000
Sc1 0.3333 0.6667 0.4676
O1 0.6667 0.3333 0.2671
```

Formation energy (no corrections), kJ per mole of atoms: -174.8
Distance to the lowest polymorph of the same formula, eV/atom: 0.000
ρ, g/cm3: 6.61
Density of states at the Fermi level, states/eV per cell: 2.62


[3]
Crystalline Tb3ScO6 at its relaxed geometry. Source: Alexandria via LeMat-Bulk, functional PBE-GGA.

Structure (CIF):
```
data_Tb3ScO6
_chemical_formula_sum 'Tb6 Sc2 O12'
_symmetry_space_group_name_H-M 'P 1'
_symmetry_Int_Tables_number 1
_cell_length_a 6.6357
_cell_length_b 6.6357
_cell_length_c 6.6357
_cell_angle_alpha 92.07
_cell_angle_beta 92.07
_cell_angle_gamma 92.07
loop_
_symmetry_equiv_pos_as_xyz
'x,y,z'
loop_
_atom_site_label
_atom_site_fract_x
_atom_site_fract_y
_atom_site_fract_z
Tb1 0.0610 0.7529 0.5683
Tb2 0.2471 0.4317 0.9390
Tb3 0.4317 0.9390 0.2471
Tb4 0.5683 0.0610 0.7529
Tb5 0.7529 0.5683 0.0610
Tb6 0.9390 0.2471 0.4317
Sc1 0.0000 0.0000 0.0000
Sc2 0.5000 0.5000 0.5000
O1 0.0371 0.6947 0.9076
O2 0.0924 0.9629 0.3053
O3 0.1944 0.4315 0.5852
O4 0.3053 0.0924 0.9629
O5 0.4148 0.8056 0.5685
O6 0.4315 0.5852 0.1944
O7 0.5685 0.4148 0.8056
O8 0.5852 0.1944 0.4315
O9 0.6947 0.9076 0.0371
O10 0.8056 0.5685 0.4148
O11 0.9076 0.0371 0.6947
O12 0.9629 0.3053 0.0924
```

Formation energy (no corrections), kJ per mole of atoms: -344.4
ρ, g/cm3: 7.04
Density of states at the Fermi level, states/eV per cell: 0.00


[4]
Crystalline TbScTe2O at its relaxed geometry. Source: Alexandria via LeMat-Bulk, functional PBE-GGA.

Structure (CIF):
```
data_TbScTe2O
_chemical_formula_sum 'Tb2 Sc2 Te4 O2'
_symmetry_space_group_name_H-M 'P 1'
_symmetry_Int_Tables_number 1
_cell_length_a 4.0567
_cell_length_b 4.0567
_cell_length_c 15.0840
_cell_angle_alpha 90.00
_cell_angle_beta 90.00
_cell_angle_gamma 90.00
loop_
_symmetry_equiv_pos_as_xyz
'x,y,z'
loop_
_atom_site_label
_atom_site_fract_x
_atom_site_fract_y
_atom_site_fract_z
Tb1 0.2500 0.2500 0.0708
Tb2 0.7500 0.7500 0.9292
Sc1 0.2500 0.2500 0.6221
Sc2 0.7500 0.7500 0.3779
Te1 0.2500 0.2500 0.4131
Te2 0.2500 0.2500 0.8028
Te3 0.7500 0.7500 0.1972
Te4 0.7500 0.7500 0.5869
O1 0.2500 0.7500 0.0000
O2 0.7500 0.2500 0.0000
```

Formation energy (no corrections), kJ per mole of atoms: -194.6
ρ, g/cm3: 6.36
Density of states at the Fermi level, states/eV per cell: 2.83